A geometry-optimized KLiV2Se structure, computed with PBE.

Computed properties:
volume: 116.37 Å³ per cell
formation energy (no corrections): 0.851 eV/atom
offset from the most stable computed form: 0.0 meV/atom
space-group type: P4/mmm (123)

abc: 4.913 4.913 4.822
angles: 90.00 90.00 90.00
Atoms (fractional coordinates):
K: 0.000 0.000 0.000
Li: 0.500 0.500 0.500
V: 0.000 0.500 0.500
V: 0.500 0.000 0.500
Se: 0.500 0.500 0.000

A geometry-optimized La8Cd3Pt2 structure, computed with PBE.

Computed properties:
volume: 397.96 Å³ per cell
space-group type: C2/m (12)
ΔE_f: -0.38 eV/atom

abc: 9.946 9.946 5.178
angles: 96.42 96.42 51.53
Atoms (fractional coordinates):
La: 0.061 0.616 0.249
La: 0.071 0.071 0.258
La: 0.331 0.331 0.738
La: 0.384 0.939 0.751
La: 0.616 0.061 0.249
La: 0.669 0.669 0.262
La: 0.929 0.929 0.742
La: 0.939 0.384 0.751
Cd: 0.324 0.676 0.000
Cd: 0.500 0.500 0.500
Cd: 0.676 0.324 0.000
Pt: 0.232 0.232 0.180
Pt: 0.768 0.768 0.820

A geometry-optimized Ba3Li2Tl4Ag2 structure, computed with PBE.

Computed properties:
volume: 342.10 Å³ per cell
space-group type: P-3m1 (164)
ΔE_f: -0.20 eV/atom

abc: 5.241 5.241 14.383
angles: 90.00 90.00 120.00
Atoms (fractional coordinates):
Ba: 0.000 0.000 0.000
Ba: 0.000 0.000 0.291
Ba: 0.000 0.000 0.709
Li: 0.333 0.667 0.609
Li: 0.667 0.333 0.391
Tl: 0.333 0.667 0.426
Tl: 0.333 0.667 0.843
Tl: 0.667 0.333 0.157
Tl: 0.667 0.333 0.574
Ag: 0.333 0.667 0.152
Ag: 0.667 0.333 0.848

A geometry-optimized ScHg2Te structure, computed with PBE.

Computed properties:
volume: 198.56 Å³ per cell
formation energy (no corrections): -0.535 eV/atom
space-group type: P2_1/m (11)

abc: 4.205 4.221 11.373
angles: 90.00 100.44 90.00
Atoms (fractional coordinates):
Sc: 0.168 0.250 0.331
Sc: 0.832 0.750 0.669
Hg: 0.065 0.750 0.121
Hg: 0.435 0.750 0.880
Hg: 0.565 0.250 0.120
Hg: 0.935 0.250 0.879
Te: 0.301 0.250 0.604
Te: 0.699 0.750 0.396

A geometry-optimized Ag5Pt3 structure, computed with PBE.

Computed properties:
volume: 135.15 Å³ per cell
offset from the most stable computed form: 8.6 meV/atom
space-group type: P4/mmm (123)
ΔE_f: 0.01 eV/atom

abc: 2.846 2.846 16.689
angles: 90.00 90.00 90.00
Atoms (fractional coordinates):
Ag: 0.000 0.000 0.000
Ag: 0.000 0.000 0.258
Ag: 0.000 0.000 0.742
Ag: 0.500 0.500 0.129
Ag: 0.500 0.500 0.871
Pt: 0.000 0.000 0.500
Pt: 0.500 0.500 0.383
Pt: 0.500 0.500 0.617

A geometry-optimized Cd3Tc structure, computed with PBE.

Computed properties:
volume: 153.45 Å³ per cell
offset from the most stable computed form: 152.6 meV/atom
space-group type: Pmmn (59)
ΔE_f: 0.41 eV/atom

abc: 4.708 5.901 5.523
angles: 90.00 90.00 90.00
Atoms (fractional coordinates):
Cd: 0.250 0.000 0.159
Cd: 0.250 0.250 0.647
Cd: 0.250 0.500 0.159
Cd: 0.750 0.000 0.841
Cd: 0.750 0.500 0.841
Cd: 0.750 0.750 0.353
Tc: 0.250 0.750 0.653
Tc: 0.750 0.250 0.347

A geometry-optimized LiLaErSe3 structure, computed with PBE.

Computed properties:
volume: 297.19 Å³ per cell
formation energy (no corrections): -1.727 eV/atom
space-group type: P2_1/m (11)

abc: 8.470 4.051 8.921
angles: 90.00 103.88 90.00
Atoms (fractional coordinates):
Li: 0.088 0.250 0.085
Li: 0.912 0.750 0.915
La: 0.190 0.250 0.728
La: 0.810 0.750 0.272
Er: 0.332 0.750 0.341
Er: 0.668 0.250 0.659
Se: 0.100 0.250 0.368
Se: 0.222 0.750 0.006
Se: 0.438 0.750 0.673
Se: 0.562 0.250 0.327
Se: 0.778 0.250 0.994
Se: 0.900 0.750 0.632

A geometry-optimized BIrPt2 structure, computed with PBE.

Computed properties:
volume: 139.13 Å³ per cell
space-group type: I-42d (122)
ΔE_f: 0.57 eV/atom

abc: 6.771 6.771 6.771
angles: 137.67 137.67 61.40
Atoms (fractional coordinates):
B: 0.000 0.000 0.000
B: 0.750 0.250 0.500
Ir: 0.250 0.750 0.500
Ir: 0.500 0.500 0.000
Pt: 0.044 0.625 0.919
Pt: 0.375 0.294 0.419
Pt: 0.706 0.125 0.081
Pt: 0.875 0.956 0.581

A geometry-optimized LaYTlRu structure, computed with PBE.

Computed properties:
volume: 100.75 Å³ per cell
space-group type: F-43m (216)
ΔE_f: -0.19 eV/atom

abc: 5.223 5.223 5.223
angles: 60.00 60.00 60.00
Atoms (fractional coordinates):
La: 0.000 0.000 0.000
Y: 0.500 0.500 0.500
Tl: 0.250 0.250 0.250
Ru: 0.750 0.750 0.750

A geometry-optimized RbPBr2O structure, computed with PBE.

Computed properties:
volume: 182.86 Å³ per cell
formation energy (no corrections): 0.039 eV/atom
space-group type: P4/mmm (123)

abc: 4.948 4.948 7.468
angles: 90.00 90.00 90.00
Atoms (fractional coordinates):
Rb: 0.000 0.000 0.000
P: 0.000 0.000 0.500
Br: 0.000 0.500 0.500
Br: 0.500 0.000 0.500
O: 0.500 0.500 0.000

A geometry-optimized SiBi3W structure, computed with PBE.

Computed properties:
volume: 149.22 Å³ per cell
formation energy (no corrections): 1.571 eV/atom
offset from the most stable computed form: 446.3 meV/atom
space-group type: Pm-3m (221)

abc: 5.304 5.304 5.304
angles: 90.00 90.00 90.00
Atoms (fractional coordinates):
Si: 0.000 0.000 0.000
Bi: 0.000 0.000 0.500
Bi: 0.000 0.500 0.000
Bi: 0.500 0.000 0.000
W: 0.500 0.500 0.500

A geometry-optimized CaSiAu2 structure, computed with PBE.

Computed properties:
volume: 86.33 Å³ per cell
formation energy (no corrections): -0.420 eV/atom
space-group type: R3m (160)

abc: 5.725 5.725 5.725
angles: 45.30 45.30 45.30
Atoms (fractional coordinates):
Ca: 0.000 0.000 0.000
Si: 0.197 0.197 0.197
Au: 0.552 0.552 0.552
Au: 0.791 0.791 0.791